Density functional theory data (GGA-PBE) for an optimized crystal structure of In2GaHg2.

```
10
Lattice="7.932 0.000 0.000 0.000 7.932 0.000 0.000 0.000 4.179" Properties=species:S:1:pos:R:3 pbc="T T T"
Hg 2.820 6.786 0.000
Hg 6.786 5.112 0.000
Hg 5.112 1.146 0.000
Hg 1.146 2.820 0.000
Ga 0.000 0.000 0.000
Ga 3.966 3.966 0.000
In 1.273 5.239 2.090
In 5.239 6.658 2.090
In 6.658 2.692 2.090
In 2.692 1.273 2.090
```

Calculated values
Symmetry: P4/mbm, No. 127
Crystal system: tetragonal
Energy above the most stable polymorph in this dataset: 0.4 meV per atom
Formation enthalpy at 0 K: 0.09 eV per atom


Density functional theory data (GGA-PBE) for an optimized crystal structure of In16Ga6Hg7.

```
29
Lattice="0.000 7.313 7.313 7.313 0.000 7.313 7.313 7.313 0.000" Properties=species:S:1:pos:R:3 pbc="T T T"
In 9.496 12.445 9.496
In 9.496 9.496 12.445
In 12.445 12.445 12.445
In 12.445 9.496 9.496
In 5.131 5.131 2.182
In 5.131 2.182 5.131
In 2.182 2.182 2.182
In 2.182 5.131 5.131
In 5.536 9.091 5.536
In 5.536 5.536 9.091
In 9.091 9.091 9.091
In 9.091 5.536 5.536
In 9.091 9.091 5.536
In 9.091 5.536 9.091
In 5.536 5.536 5.536
In 5.536 9.091 9.091
Ga 7.313 7.313 2.150
Ga 7.313 7.313 12.477
Ga 7.313 12.477 7.313
Ga 7.313 2.150 7.313
Ga 2.150 7.313 7.313
Ga 12.477 7.313 7.313
Hg 7.313 7.313 7.313
Hg 3.657 3.657 7.313
Hg 3.657 3.657 0.000
Hg 3.657 0.000 3.657
Hg 3.657 7.313 3.657
Hg 7.313 3.657 3.657
Hg 0.000 3.657 3.657
```

Calculated values
Symmetry: Fm-3m, No. 225
Crystal system: cubic
Formation enthalpy at 0 K: 0.09 eV per atom


Density functional theory data (GGA-PBE) for an optimized crystal structure of In3GaHg3.

```
7
Lattice="6.043 -0.203 -0.276 -1.578 5.837 -0.276 -1.578 -1.992 5.493" Properties=species:S:1:pos:R:3 pbc="T T T"
In 2.089 2.636 0.529
In 2.089 -0.275 2.674
In -0.745 1.971 2.674
Ga 0.192 0.242 0.328
Hg 0.287 3.691 5.008
Hg 3.528 4.451 2.555
Hg 3.528 1.123 5.008
```

Calculated values
Symmetry: R3m, No. 160
Crystal system: trigonal
Energy above the most stable polymorph in this dataset: 0.0 meV per atom
Formation enthalpy at 0 K: 0.05 eV per atom


Density functional theory data (GGA-PBE) for an optimized crystal structure of In2Ga4Hg3.

```
9
Lattice="-3.376 1.625 -3.915 -3.469 -4.809 0.657 -2.050 3.100 5.806" Properties=species:S:1:pos:R:3 pbc="T T T"
In -3.637 0.402 -0.674
In -5.258 -0.486 3.223
Ga -3.955 2.230 3.119
Ga -1.809 1.321 1.734
Ga -4.940 -2.314 -0.570
Ga -7.086 -1.404 0.815
Hg -2.805 -1.709 1.528
Hg -6.090 1.625 1.020
Hg 0.000 0.000 0.000
```

Calculated values
Symmetry: P-1, No. 2
Crystal system: triclinic
Formation enthalpy at 0 K: 0.05 eV per atom


Density functional theory data (GGA-PBE) for an optimized crystal structure of In6GaHg4.

```
22
Lattice="3.943 0.000 0.000 -1.971 7.473 0.000 0.000 0.000 20.358" Properties=species:S:1:pos:R:3 pbc="T T T"
In 1.971 0.000 0.000
In 1.971 0.000 10.179
In 0.000 1.185 7.046
In 1.971 6.288 13.312
In 1.971 6.288 17.225
In 0.000 1.185 3.133
In 1.971 3.889 7.741
In 0.000 3.584 12.617
In 0.000 3.584 17.920
In 1.971 3.889 2.438
In 0.000 4.410 5.090
In 1.971 3.062 15.269
Ga 1.971 2.171 5.090
Ga 0.000 5.302 15.269
Hg 1.971 5.063 10.513
Hg 0.000 6.335 2.785
Hg 0.000 2.409 9.845
Hg 1.971 1.137 17.573
Hg 1.971 5.063 20.024
Hg 0.000 2.409 0.334
Hg 1.971 1.137 12.964
Hg 0.000 6.335 7.394
```

Calculated values
Symmetry: Cmcm, No. 63
Crystal system: orthorhombic
Formation enthalpy at 0 K: 0.02 eV per atom


Density functional theory data (GGA-PBE) for an optimized crystal structure of In6GaHg2.

```
18
Lattice="-2.375 4.812 4.126 -4.932 -4.762 5.923 3.777 -2.192 7.938" Properties=species:S:1:pos:R:3 pbc="T T T"
In -2.332 -2.486 9.320
In -1.604 -2.533 6.235
In -1.199 0.344 8.667
In -1.926 0.390 11.752
In -5.046 -0.812 12.452
In -3.887 -0.168 6.623
In 1.515 -1.330 5.535
In 0.356 -1.974 11.364
In -0.832 -5.413 13.469
In -0.306 1.220 2.734
In -2.699 3.271 4.519
In -3.225 -3.363 15.253
Ga 1.172 -1.582 8.505
Ga -4.703 -0.560 9.483
Hg -0.229 -4.982 10.510
Hg -0.829 0.813 5.712
Hg -3.301 2.839 7.478
Hg -2.702 -2.955 12.275
```

Calculated values
Symmetry: C2/c, No. 15
Crystal system: monoclinic
Energy above the most stable polymorph in this dataset: 0.0 meV per atom
Formation enthalpy at 0 K: 0.04 eV per atom


> Look up the formation enthalpy at 0 K of the fifth one.

0.02 eV per atom


> Number 5 is which compound?

In6GaHg4


> formation enthalpy at 0 K of number 6 (In6GaHg2)?

0.04 eV per atom